[1]
DFT (PBE) results for a relaxed CaPmPS crystal.

Output
Formation energy from raw total energies in eV/atom: -1.772

Cell: 4.1168 4.1168 7.1158 Å, 73.19 73.19 60.00°
Last column: nearest neighbours and their distance in Å.
Sites, in units of the cell vectors:
S (0.7497, 0.7497, 0.7509)  3 Ca 2.93, 3 Pm 2.95
Ca (0.5016, 0.5016, 0.4953)  3 P 2.92, 3 S 2.93
P (0.2525, 0.2525, 0.2426)  3 Pm 2.84, 3 Ca 2.92
Pm (0.9963, 0.9963, 0.0112)  3 P 2.84, 3 S 2.95


[2]
DFT (PBE) results for a relaxed Li2TaBe crystal.

Cell: 9.7273 9.7273 9.7273 Å, 16.14 16.14 16.14°
Last column: nearest neighbours and their distance in Å.
Sites, in units of the cell vectors:
Li (0.9938, 0.9938, 0.9938)  3 Be 2.72, 6 Li 2.73, 3 Ta 3.02
Li (0.5062, 0.5062, 0.5062)  3 Be 2.72, 6 Li 2.73, 3 Ta 3.02
Be (0.2500, 0.2500, 0.2500)  6 Li 2.72, 6 Be 2.73
Ta (0.7500, 0.7500, 0.7500)  6 Ta 2.73, 6 Li 3.02


[3]
DFT (PBE) results for a relaxed Th4SiTe4 crystal.

Output
Formation energy from raw total energies in eV/atom: -0.548

Cell: 7.4457 7.4457 8.0081 Å, 117.70 117.70 90.00°
Last column: nearest neighbours and their distance in Å.
Sites, in units of the cell vectors:
Th (0.3488, 0.9393, 0.2881)  1 Si 2.77
Th (0.6512, 0.6512, 0.7119)  1 Si 2.77
Th (0.9393, 0.3488, 0.2881)  1 Si 2.77
Th (0.0607, 0.0607, 0.7119)  1 Si 2.77
Te (0.6625, 0.6625, 0.3250)  4 Th 3.12-3.18
Te (0.3375, 0.3375, 0.6750)  4 Th 3.12-3.18
Te (0.5000, 0.0000, 0.0000)  4 Th 3.19
Te (0.0000, 0.5000, 0.0000)  4 Th 3.19
Si (0.0000, 0.0000, 0.0000)  4 Th 2.77


[4]
DFT (PBE) results for a relaxed YCd2W crystal.

Output
Polymorph energy (0 for the lowest one) in eV per atom: 0.176

Cell: 4.9488 4.9488 4.9488 Å, 60.00 60.00 60.00°
Last column: nearest neighbours and their distance in Å.
Sites, in units of the cell vectors:
W (0.5000, 0.5000, 0.5000)  8 Cd 3.03
Y (0.0000, 0.0000, 0.0000)  8 Cd 3.03
Cd (0.2500, 0.2500, 0.2500)  4 W 3.03, 4 Y 3.03
Cd (0.7500, 0.7500, 0.7500)  4 W 3.03, 4 Y 3.03


[5]
DFT (PBE) results for a relaxed YSnPt crystal.

Cell: 4.5658 7.2369 8.0466 Å, 90.00 90.00 90.00°
Last column: nearest neighbours and their distance in Å.
Sites, in units of the cell vectors:
Y (0.7500, 0.4891, 0.8045)  5 Pt 3.04-3.23, 6 Sn 3.20-3.35
Y (0.7500, 0.9891, 0.6955)  5 Pt 3.04-3.23, 6 Sn 3.20-3.35
Y (0.2500, 0.5109, 0.1955)  5 Pt 3.04-3.23, 6 Sn 3.20-3.35
Y (0.2500, 0.0109, 0.3045)  5 Pt 3.04-3.23, 6 Sn 3.20-3.35
Pt (0.7500, 0.2163, 0.0913)  4 Sn 2.70-2.86
Pt (0.7500, 0.7163, 0.4087)  4 Sn 2.70-2.86
Pt (0.2500, 0.7837, 0.9087)  4 Sn 2.70-2.86
Pt (0.2500, 0.2837, 0.5913)  4 Sn 2.70-2.86
Sn (0.7500, 0.8215, 0.0843)  4 Pt 2.70-2.86
Sn (0.2500, 0.1785, 0.9157)  4 Pt 2.70-2.86
Sn (0.7500, 0.3215, 0.4157)  4 Pt 2.70-2.86
Sn (0.2500, 0.6785, 0.5843)  4 Pt 2.70-2.86


[6]
DFT (PBE) results for a relaxed NpBeCo crystal.

Cell: 4.0217 5.7128 7.0438 Å, 90.00 90.00 90.00°
Last column: nearest neighbours and their distance in Å.
Sites, in units of the cell vectors:
Be (0.7500, 0.1183, 0.6848)  4 Co 2.20-2.31
Be (0.2500, 0.6183, 0.8152)  4 Co 2.20-2.31
Be (0.2500, 0.8817, 0.3152)  4 Co 2.20-2.31
Be (0.7500, 0.3817, 0.1848)  4 Co 2.20-2.31
Co (0.7500, 0.4329, 0.8753)  4 Be 2.20-2.31
Co (0.2500, 0.5671, 0.1247)  4 Be 2.20-2.31
Co (0.7500, 0.0671, 0.3753)  4 Be 2.20-2.31
Co (0.2500, 0.9329, 0.6247)  4 Be 2.20-2.31
Np (0.7500, 0.6421, 0.5130)  2 Np 2.59, 4 Co 2.61-2.82, 3 Be 2.75-2.80
Np (0.2500, 0.3579, 0.4870)  2 Np 2.59, 4 Co 2.61-2.82, 3 Be 2.75-2.80
Np (0.7500, 0.8579, 0.0130)  2 Np 2.59, 4 Co 2.61-2.82, 3 Be 2.75-2.80
Np (0.2500, 0.1421, 0.9870)  2 Np 2.59, 4 Co 2.61-2.82, 3 Be 2.75-2.80


[7]
DFT (PBE) results for a relaxed PrSmTh4 crystal.

Output
Polymorph energy (0 for the lowest one) in eV per atom: 0.000

Cell: 5.0597 5.0933 8.1021 Å, 90.00 108.19 90.00°
Last column: nearest neighbours and their distance in Å.
Sites, in units of the cell vectors:
Sm (0.0000, 0.0000, 0.0000)  4 Pr 3.59, 8 Th 3.64-3.65
Th (0.1699, 0.5000, 0.3398)  8 Th 3.53-3.59, 2 Pr 3.64, 2 Sm 3.65
Th (0.8301, 0.5000, 0.6602)  8 Th 3.53-3.59, 2 Pr 3.64, 2 Sm 3.65
Th (0.6703, 0.0000, 0.3406)  8 Th 3.52-3.59, 2 Sm 3.64, 2 Pr 3.65
Th (0.3297, 0.0000, 0.6594)  8 Th 3.52-3.59, 2 Sm 3.64, 2 Pr 3.65
Pr (0.5000, 0.5000, 0.0000)  4 Sm 3.59, 8 Th 3.64-3.65


[8]
DFT (PBE) results for a relaxed RbTlPb crystal.

Cell: 3.7777 3.7973 8.1487 Å, 76.53 76.60 90.00°
Last column: nearest neighbours and their distance in Å.
Sites, in units of the cell vectors:
Pb (0.8952, 0.3952, 0.2096)  4 Tl 3.38, 2 Pb 3.78
Tl (0.2610, 0.7610, 0.4780)  4 Pb 3.38, 2 Tl 3.78
Rb (0.5814, 0.0814, 0.8371)  4 Rb 3.78-3.80, 4 Tl 3.85, 4 Pb 3.92


Number 1: E -5.845 eV per atom. Number 2: E -4.439 eV per atom. Number 3: E -5.845 eV per atom. Number 4: E -4.825 eV per atom. Number 5: E -6.589 eV per atom. Number 6: E -7.963 eV per atom. Number 7: E -6.473 eV per atom. Number 8: E -2.434 eV per atom.